HgTe2IBr (GGA-PBEsol, optimized geometry); formation energy (no corrections) = 0.64 eV per atom; crystal system = tetragonal; V = 178 Å³/cell; size of the total moment = 0.0 μB/f.u.
1.0
-2.066 -1.010 5.045
-0.283 -5.406 -1.198
5.370 -0.736 2.052
I Te Hg Br
1 2 1 1
Cartesian
2.685 -0.368 1.026
-0.141 -2.703 -0.599
-1.033 -0.505 2.522
1.511 -3.576 2.949
0.000 0.000 0.000

=====

InHg2Br (GGA-PBEsol, optimized geometry); ΔE to the lowest computed polymorph = 0.007 eV per atom; formation energy (no corrections) = -0.23 eV per atom; crystal system = monoclinic; V = 110 Å³/cell; size of the total moment = 0.0 μB/f.u.
1.0
4.348 -0.016 0.000
-0.183 4.375 0.000
-2.082 -2.179 5.805
Hg Br In
2 1 1
Cartesian
-1.041 -1.090 2.902
1.041 1.090 2.902
-0.092 2.187 0.000
2.174 -0.008 0.000

=====

In2HgBr2 (GGA-PBEsol, optimized geometry); ΔE to the lowest computed polymorph = 0.103 eV per atom; formation energy (no corrections) = -0.35 eV per atom; crystal system = tetragonal; V = 179 Å³/cell; size of the total moment = 0.0 μB/f.u.
1.0
-1.061 -5.127 0.118
0.742 -0.272 -5.177
6.473 1.416 3.502
Hg Br In
1 2 2
Cartesian
0.000 0.000 0.000
3.528 -0.778 -2.102
2.626 -3.206 0.545
4.638 -0.943 0.714
1.516 -3.041 -2.272

=====

InHg2Br (GGA-PBEsol, optimized geometry); ΔE to the lowest computed polymorph = 0.024 eV per atom; formation energy (no corrections) = -0.22 eV per atom; crystal system = orthorhombic; V = 109 Å³/cell; size of the total moment = 0.0 μB/f.u.
1.0
4.175 0.000 0.000
0.000 4.666 0.000
0.000 0.000 5.583
Hg Br In
2 1 1
Cartesian
0.000 0.000 0.000
2.088 2.333 0.000
0.000 2.333 2.791
2.088 0.000 2.791

=====

In2Hg2Br (GGA-PBEsol, optimized geometry); formation energy (no corrections) = -0.20 eV per atom; crystal system = tetragonal; V = 263 Å³/cell; size of the total moment = 0.0 μB/f.u.
1.0
-2.127 -3.013 0.381
1.961 -0.349 8.186
-6.616 4.898 1.793
Hg Br In
4 2 4
Cartesian
-4.959 1.516 2.346
-5.617 2.555 6.883
-1.824 0.019 8.014
-1.166 -1.019 3.477
0.000 0.000 0.000
-2.328 2.274 4.990
-4.801 3.907 4.097
-2.885 3.041 7.936
0.145 0.641 5.883
-1.770 1.508 2.043

=====

InHg2Br (GGA-PBEsol, optimized geometry); ΔE to the lowest computed polymorph = 0.022 eV per atom; formation energy (no corrections) = -0.22 eV per atom; crystal system = tetragonal; V = 107 Å³/cell; size of the total moment = 0.0 μB/f.u.
1.0
3.734 0.000 0.000
0.000 3.734 0.000
0.000 0.000 7.659
Hg Br In
2 1 1
Cartesian
0.000 0.000 0.170
1.867 1.867 1.854
1.867 1.867 5.571
0.000 0.000 3.893

=====

InHg2Br (GGA-PBEsol, optimized geometry); ΔE to the lowest computed polymorph = 0.033 eV per atom; formation energy (no corrections) = -0.21 eV per atom; crystal system = trigonal; V = 114 Å³/cell; size of the total moment = 0.0 μB/f.u.
1.0
4.227 0.000 0.000
2.113 3.660 0.000
2.113 1.220 7.351
Hg Br In
2 1 1
Cartesian
2.113 1.220 7.161
6.340 3.660 5.488
2.113 1.220 1.964
4.227 2.440 3.766

=====

InHg2Br (GGA-PBEsol, optimized geometry); ΔE to the lowest computed polymorph = 0.000 eV per atom; formation energy (no corrections) = -0.24 eV per atom; crystal system = monoclinic; V = 112 Å³/cell; size of the total moment = 0.0 μB/f.u.
1.0
-1.231 1.124 -3.711
-0.948 -4.345 -1.002
-5.151 2.881 2.582
Hg Br In
2 1 1
Cartesian
-0.530 -0.218 0.110
-2.146 -1.754 -2.049
-4.409 0.765 -0.535
-3.768 -2.038 0.633

=====

In2HgBr2 (GGA-PBEsol, optimized geometry); ΔE to the lowest computed polymorph = 0.000 eV per atom; formation energy (no corrections) = -0.45 eV per atom; crystal system = tetragonal; V = 289 Å³/cell; size of the total moment = 0.0 μB/f.u.
1.0
4.454 0.000 0.000
0.000 8.058 0.000
0.000 0.000 8.058
Hg Br In
2 4 4
Cartesian
0.000 0.000 0.000
0.000 4.029 4.029
2.227 1.369 5.398
2.227 5.398 6.689
2.227 6.689 2.660
2.227 2.660 1.369
0.000 2.879 6.908
0.000 6.908 5.179
0.000 5.179 1.150
0.000 1.150 2.879

=====

InHg2Br (GGA-PBEsol, optimized geometry); ΔE to the lowest computed polymorph = 0.012 eV per atom; formation energy (no corrections) = -0.23 eV per atom; crystal system = orthorhombic; V = 106 Å³/cell; size of the total moment = 0.0 μB/f.u.
1.0
-2.153 1.807 -2.395
-3.128 -4.018 -0.219
-0.355 3.205 5.584
Hg Br In
2 1 1
Cartesian
-4.059 -0.111 0.718
-1.577 1.105 2.251
-1.076 0.903 -1.197
-1.564 -2.009 -0.110

=====

InHg2Br (GGA-PBEsol, optimized geometry); ΔE to the lowest computed polymorph = 0.044 eV per atom; formation energy (no corrections) = -0.20 eV per atom; crystal system = tetragonal; V = 108 Å³/cell; size of the total moment = 0.0 μB/f.u.
1.0
-1.170 -0.635 -5.006
5.122 -0.896 1.596
1.694 -4.890 0.224
Hg Br In
2 1 1
Cartesian
0.000 0.000 0.000
2.692 -1.829 -0.397
2.954 -4.592 -2.788
0.262 -2.762 -2.391

=====

InHg2Br (GGA-PBEsol, optimized geometry); ΔE to the lowest computed polymorph = 0.019 eV per atom; formation energy (no corrections) = -0.22 eV per atom; crystal system = tetragonal; V = 108 Å³/cell; size of the total moment = 0.0 μB/f.u.
1.0
4.376 0.000 0.000
0.000 4.376 0.000
-2.188 -2.188 5.657
Hg Br In
2 1 1
Cartesian
2.188 0.000 2.829
0.000 2.188 2.829
0.000 0.000 0.000
2.188 2.188 0.000

=====

InHg2Br (GGA-PBEsol, optimized geometry); ΔE to the lowest computed polymorph = 0.018 eV per atom; formation energy (no corrections) = -0.22 eV per atom; crystal system = orthorhombic; V = 116 Å³/cell; size of the total moment = 0.0 μB/f.u.
1.0
4.887 -0.129 0.000
-1.044 4.776 0.000
0.000 0.000 4.977
Hg Br In
2 1 1
Cartesian
3.298 1.185 0.000
0.545 3.462 0.000
0.000 0.000 2.488
1.921 2.324 2.488

=====

K2InHgBr6 (GGA-PBEsol, optimized geometry); formation energy (no corrections) = -1.03 eV per atom; crystal system = cubic; V = 338 Å³/cell; size of the total moment = 0.0 μB/f.u.
1.0
7.818 0.000 0.000
3.909 6.771 0.000
3.909 2.257 6.383
K In Hg Br
2 1 1 6
Cartesian
11.727 6.771 4.788
3.909 2.257 1.596
0.000 0.000 0.000
7.818 4.514 3.192
7.818 2.208 1.561
9.815 5.667 1.561
7.818 6.820 4.822
9.815 3.361 4.822
5.821 5.667 1.561
5.821 3.361 4.822

=====

NaInHgBr2 (GGA-PBEsol, optimized geometry); formation energy (no corrections) = -0.54 eV per atom; crystal system = tetragonal; V = 160 Å³/cell; size of the total moment = 0.0 μB/f.u.
1.0
5.429 0.000 0.000
0.000 5.429 0.000
0.000 0.000 5.438
Na Hg Br In
1 1 2 1
Cartesian
0.000 0.000 0.000
0.000 0.000 2.719
0.000 2.714 0.000
2.714 0.000 0.000
2.714 2.714 2.719

=====

InHgSe2Br (GGA-PBEsol, optimized geometry); formation energy (no corrections) = 0.18 eV per atom; crystal system = tetragonal; V = 146 Å³/cell; size of the total moment = 0.0 μB/f.u.
1.0
5.252 0.000 0.000
0.000 5.252 0.000
0.000 0.000 5.277
Se Hg Br In
2 1 1 1
Cartesian
0.000 2.626 0.000
2.626 0.000 0.000
2.626 2.626 2.638
0.000 0.000 2.638
0.000 0.000 0.000

=====

HgIr3Br (GGA-PBEsol, optimized geometry); formation energy (no corrections) = 1.86 eV per atom; crystal system = cubic; V = 96 Å³/cell; size of the total moment = 0.0 μB/f.u.
1.0
4.576 0.000 0.000
0.000 4.576 0.000
0.000 0.000 4.576
Ir Hg Br
3 1 1
Cartesian
0.000 2.288 0.000
0.000 0.000 2.288
2.288 0.000 0.000
2.288 2.288 2.288
0.000 0.000 0.000

=====

HgIrSeBr2 (GGA-PBEsol, optimized geometry); formation energy (no corrections) = 0.23 eV per atom; crystal system = tetragonal; V = 125 Å³/cell; size of the total moment = 0.0 μB/f.u.
1.0
4.633 0.000 0.000
0.000 5.202 0.000
0.000 0.000 5.202
Ir Se Hg Br
1 1 1 2
Cartesian
0.000 0.000 0.000
2.317 0.000 0.000
2.317 2.601 2.601
0.000 0.000 2.601
0.000 2.601 0.000

=====

KNaHg2Br (GGA-PBEsol, optimized geometry); formation energy (no corrections) = -0.26 eV per atom; crystal system = tetragonal; V = 201 Å³/cell; size of the total moment = 0.0 μB/f.u.
1.0
5.425 0.000 0.000
0.000 5.425 0.000
0.000 0.000 6.842
Na K Hg Br
1 1 2 1
Cartesian
0.000 0.000 0.000
0.000 0.000 3.421
0.000 2.712 0.000
2.712 0.000 0.000
2.712 2.712 3.421

=====

La2HgBr (GGA-PBEsol, optimized geometry); ΔE to the lowest computed polymorph = 0.045 eV per atom; formation energy (no corrections) = -0.91 eV per atom; crystal system = trigonal; V = 119 Å³/cell; size of the total moment = 0.0 μB/f.u.
1.0
-2.144 3.845 0.314
-4.110 0.369 -1.564
-4.658 -0.545 5.884
Hg Br La
1 1 2
Cartesian
-5.456 1.835 2.317
0.000 0.000 0.000
-8.210 2.733 3.538
-2.702 0.937 1.096